Record 1
A plane-wave DFT calculation with GGA-PBE was carried out for a relaxed structure of Dy2Ni15Rh2.

The structure in extended XYZ format:
```
19
Lattice="4.181 2.414 4.065 -4.181 2.414 4.065 0.000 -4.828 4.065" Properties=species:S:1:pos:R:3 pbc="T T T"
Dy 0.000 0.000 1.926
Dy 0.000 0.000 10.268
Ni -2.090 -1.207 4.065
Ni 0.000 -2.439 3.921
Ni -2.112 1.220 3.921
Ni -1.243 -2.152 6.097
Ni -2.485 0.000 6.097
Ni -2.112 -1.220 8.273
Ni -2.090 1.207 8.129
Ni 1.243 -2.152 6.097
Ni 0.000 2.414 4.065
Ni -1.243 2.152 6.097
Ni 2.112 1.220 3.921
Ni 2.485 0.000 6.097
Ni 1.243 2.152 6.097
Ni 2.112 -1.220 8.273
Ni 0.000 2.439 8.273
Rh 0.000 0.000 4.830
Rh 0.000 0.000 7.364
```

Record 2
A plane-wave DFT calculation with GGA-PBE was carried out for a relaxed structure of Li4Pm2Cd5.

The structure in extended XYZ format:
```
11
Lattice="0.000 4.858 8.485 3.042 0.000 8.485 3.042 4.858 0.000" Properties=species:S:1:pos:R:3 pbc="T T T"
Li 3.042 1.467 6.216
Li 3.042 1.467 10.754
Li 3.042 8.248 6.216
Li 3.042 8.248 10.754
Pm 3.042 4.858 6.401
Pm 3.042 4.858 10.569
Cd 0.000 0.000 0.000
Cd 1.521 2.429 0.000
Cd 1.521 2.429 4.243
Cd 1.521 2.429 8.485
Cd 4.563 7.286 12.728
```

Per-record energy of formation from the pure elements, eV/atom: -0.202; -0.154
Per-record uncorrected energy, eV/atom: -6.02; -2.13
Per-record magnetic moment, Bohr magnetons per cell: 8.29; 0.00